(1)
Computed, not measured: a relaxed ZrPS2I crystal at the PBE level of DFT.

Results
* energy relative to the lowest polymorph listed for this composition: 0.0 meV per atom
* total magnetization: 0.00 μB/f.u.
* raw formation energy: -90 meV/atom

a b c (Å): 4.876 4.876 5.569
angles (deg): 90.00 90.00 90.00
Fractional coordinates of all 5 atoms:
1 Zr 0.000 0.000 0.000
2 P 0.000 0.000 0.500
3 S 0.000 0.500 0.000
4 S 0.500 0.000 0.000
5 I 0.500 0.500 0.500



(2)
Computed, not measured: a relaxed SbPI3 crystal at the PBE level of DFT.

Results
* energy relative to the lowest polymorph listed for this composition: 50.8 meV per atom
* total magnetization: 2.98 μB/f.u.
* raw formation energy: 534 meV/atom

a b c (Å): 6.032 6.032 6.032
angles (deg): 90.00 90.00 90.00
Fractional coordinates of all 5 atoms:
1 Sb 0.000 0.000 0.000
2 P 0.500 0.500 0.500
3 I 0.000 0.000 0.500
4 I 0.000 0.500 0.000
5 I 0.500 0.000 0.000



(3)
Computed, not measured: a relaxed Sb2P2I crystal at the PBE level of DFT.

Results
* energy relative to the lowest polymorph listed for this composition: 0.0 meV per atom
* total magnetization: 0.00 μB/f.u.
* raw formation energy: 116 meV/atom

a b c (Å): 7.580 7.580 7.580
angles (deg): 145.38 145.38 49.77
Fractional coordinates of all 5 atoms:
1 Sb 0.141 0.141 0.000
2 Sb 0.859 0.859 0.000
3 P 0.250 0.750 0.500
4 P 0.750 0.250 0.500
5 I 0.500 0.500 0.000



(4)
Computed, not measured: a relaxed SbP3I crystal at the PBE level of DFT.

Results
* energy relative to the lowest polymorph listed for this composition: 0.0 meV per atom
* total magnetization: 0.00 μB/f.u.
* raw formation energy: 1218 meV/atom

a b c (Å): 5.115 5.115 5.115
angles (deg): 90.00 90.00 90.00
Fractional coordinates of all 5 atoms:
1 Sb 0.000 0.000 0.000
2 P 0.000 0.000 0.500
3 P 0.000 0.500 0.000
4 P 0.500 0.000 0.000
5 I 0.500 0.500 0.500



(5)
Computed, not measured: a relaxed Sb2PI crystal at the PBE level of DFT.

Results
* energy relative to the lowest polymorph listed for this composition: 0.0 meV per atom
* total magnetization: 0.00 μB/f.u.
* raw formation energy: 292 meV/atom

a b c (Å): 6.773 6.773 6.773
angles (deg): 107.13 107.13 114.27
Fractional coordinates of all 8 atoms:
1 Sb 0.065 0.625 0.940
2 Sb 0.375 0.315 0.440
3 Sb 0.685 0.125 0.060
4 Sb 0.875 0.935 0.560
5 P 0.000 0.000 0.000
6 P 0.750 0.250 0.500
7 I 0.250 0.750 0.500
8 I 0.500 0.500 0.000



(6)
Computed, not measured: a relaxed Sb2PI crystal at the PBE level of DFT.

Results
* energy relative to the lowest polymorph listed for this composition: 273.8 meV per atom
* total magnetization: 0.00 μB/f.u.
* raw formation energy: 565 meV/atom

a b c (Å): 5.239 5.239 5.239
angles (deg): 60.00 60.00 60.00
Fractional coordinates of all 4 atoms:
1 Sb 0.250 0.250 0.250
2 Sb 0.750 0.750 0.750
3 P 0.000 0.000 0.000
4 I 0.500 0.500 0.500



(7)
Computed, not measured: a relaxed SbPI3 crystal at the PBE level of DFT.

Results
* energy relative to the lowest polymorph listed for this composition: 0.0 meV per atom
* total magnetization: 0.00 μB/f.u.
* raw formation energy: 483 meV/atom

a b c (Å): 5.491 5.491 5.491
angles (deg): 90.00 90.00 90.00
Fractional coordinates of all 5 atoms:
1 Sb 0.000 0.000 0.000
2 P 0.500 0.500 0.500
3 I 0.000 0.500 0.500
4 I 0.500 0.000 0.500
5 I 0.500 0.500 0.000



(8)
Computed, not measured: a relaxed SbP2I crystal at the PBE level of DFT.

Results
* energy relative to the lowest polymorph listed for this composition: 0.0 meV per atom
* total magnetization: 0.00 μB/f.u.
* raw formation energy: 585 meV/atom

a b c (Å): 6.780 6.780 6.780
angles (deg): 115.44 115.44 98.09
Fractional coordinates of all 8 atoms:
1 Sb 0.000 0.000 0.000
2 Sb 0.750 0.250 0.500
3 P 0.085 0.625 0.960
4 P 0.375 0.335 0.460
5 P 0.665 0.125 0.040
6 P 0.875 0.915 0.540
7 I 0.250 0.750 0.500
8 I 0.500 0.500 0.000



(9)
Computed, not measured: a relaxed SbP2I crystal at the PBE level of DFT.

Results
* energy relative to the lowest polymorph listed for this composition: 236.4 meV per atom
* total magnetization: 0.00 μB/f.u.
* raw formation energy: 822 meV/atom

a b c (Å): 4.981 4.981 4.981
angles (deg): 60.00 60.00 60.00
Fractional coordinates of all 4 atoms:
1 Sb 0.000 0.000 0.000
2 P 0.250 0.250 0.250
3 P 0.750 0.750 0.750
4 I 0.500 0.500 0.500



(10)
Computed, not measured: a relaxed Sb2P2I crystal at the PBE level of DFT.

Results
* energy relative to the lowest polymorph listed for this composition: 150.0 meV per atom
* total magnetization: 0.00 μB/f.u.
* raw formation energy: 266 meV/atom

a b c (Å): 6.774 6.774 6.774
angles (deg): 138.06 138.06 60.81
Fractional coordinates of all 5 atoms:
1 Sb 0.250 0.750 0.500
2 Sb 0.750 0.250 0.500
3 P 0.144 0.144 0.000
4 P 0.856 0.856 0.000
5 I 0.500 0.500 0.000



(11)
Computed, not measured: a relaxed ScSbPI2 crystal at the PBE level of DFT.

Results
* energy relative to the lowest polymorph listed for this composition: 0.0 meV per atom
* total magnetization: 1.05 μB/f.u.
* raw formation energy: 228 meV/atom

a b c (Å): 5.530 5.530 6.059
angles (deg): 90.00 90.00 90.00
Fractional coordinates of all 5 atoms:
1 Sc 0.000 0.000 0.000
2 Sb 0.000 0.000 0.500
3 P 0.500 0.500 0.500
4 I 0.000 0.500 0.000
5 I 0.500 0.000 0.000



(12)
Computed, not measured: a relaxed ScSb2PI crystal at the PBE level of DFT.

Results
* energy relative to the lowest polymorph listed for this composition: 167.1 meV per atom
* total magnetization: 1.24 μB/f.u.
* raw formation energy: 543 meV/atom

a b c (Å): 5.590 5.590 5.487
angles (deg): 90.00 90.00 90.00
Fractional coordinates of all 5 atoms:
1 Sc 0.000 0.000 0.000
2 Sb 0.000 0.500 0.000
3 Sb 0.500 0.000 0.000
4 P 0.500 0.500 0.500
5 I 0.000 0.000 0.500



(13)
Computed, not measured: a relaxed ScSb2PI crystal at the PBE level of DFT.

Results
* energy relative to the lowest polymorph listed for this composition: 0.0 meV per atom
* total magnetization: 0.00 μB/f.u.
* raw formation energy: 376 meV/atom

a b c (Å): 5.235 5.235 5.253
angles (deg): 90.00 90.00 90.00
Fractional coordinates of all 5 atoms:
1 Sc 0.000 0.000 0.000
2 Sb 0.000 0.500 0.500
3 Sb 0.500 0.000 0.500
4 P 0.500 0.500 0.500
5 I 0.500 0.500 0.000



(14)
Computed, not measured: a relaxed ScSbPI2 crystal at the PBE level of DFT.

Results
* energy relative to the lowest polymorph listed for this composition: 465.7 meV per atom
* total magnetization: 1.72 μB/f.u.
* raw formation energy: 694 meV/atom

a b c (Å): 5.956 5.956 5.748
angles (deg): 90.00 90.00 90.00
Fractional coordinates of all 5 atoms:
1 Sc 0.000 0.000 0.000
2 Sb 0.000 0.000 0.500
3 P 0.500 0.500 0.000
4 I 0.000 0.500 0.500
5 I 0.500 0.000 0.500



(15)
Computed, not measured: a relaxed ScSbPI2 crystal at the PBE level of DFT.

Results
* energy relative to the lowest polymorph listed for this composition: 116.1 meV per atom
* total magnetization: 0.29 μB/f.u.
* raw formation energy: 344 meV/atom

a b c (Å): 5.253 5.253 5.562
angles (deg): 90.00 90.00 90.00
Fractional coordinates of all 5 atoms:
1 Sc 0.000 0.000 0.000
2 Sb 0.500 0.500 0.000
3 P 0.500 0.500 0.500
4 I 0.000 0.500 0.500
5 I 0.500 0.000 0.500



(16)
Computed, not measured: a relaxed SbPSeI2 crystal at the PBE level of DFT.

Results
* energy relative to the lowest polymorph listed for this composition: 322.0 meV per atom
* total magnetization: 0.93 μB/f.u.
* raw formation energy: 929 meV/atom

a b c (Å): 5.574 5.574 5.963
angles (deg): 90.00 90.00 90.00
Fractional coordinates of all 5 atoms:
1 Sb 0.000 0.000 0.000
2 P 0.500 0.500 0.000
3 Se 0.000 0.000 0.500
4 I 0.000 0.500 0.500
5 I 0.500 0.000 0.500



(17)
Computed, not measured: a relaxed SbPSeI2 crystal at the PBE level of DFT.

Results
* energy relative to the lowest polymorph listed for this composition: 0.0 meV per atom
* total magnetization: 0.00 μB/f.u.
* raw formation energy: 607 meV/atom

a b c (Å): 5.285 5.285 5.553
angles (deg): 90.00 90.00 90.00
Fractional coordinates of all 5 atoms:
1 Sb 0.000 0.000 0.000
2 P 0.000 0.000 0.500
3 Se 0.500 0.500 0.000
4 I 0.000 0.500 0.500
5 I 0.500 0.000 0.500



(18)
Computed, not measured: a relaxed SiSbPI2 crystal at the PBE level of DFT.

Results
* energy relative to the lowest polymorph listed for this composition: 62.2 meV per atom
* total magnetization: 0.00 μB/f.u.
* raw formation energy: 825 meV/atom

a b c (Å): 5.310 5.310 5.491
angles (deg): 90.00 90.00 90.00
Fractional coordinates of all 5 atoms:
1 Si 0.000 0.000 0.000
2 Sb 0.500 0.500 0.000
3 P 0.500 0.500 0.500
4 I 0.000 0.500 0.500
5 I 0.500 0.000 0.500



(19)
Computed, not measured: a relaxed SiSbPI2 crystal at the PBE level of DFT.

Results
* energy relative to the lowest polymorph listed for this composition: 0.0 meV per atom
* total magnetization: 0.00 μB/f.u.
* raw formation energy: 763 meV/atom

a b c (Å): 5.338 5.338 5.045
angles (deg): 90.00 90.00 90.00
Fractional coordinates of all 5 atoms:
1 Si 0.000 0.000 0.000
2 Sb 0.500 0.500 0.000
3 P 0.000 0.000 0.500
4 I 0.000 0.500 0.500
5 I 0.500 0.000 0.500



(20)
Computed, not measured: a relaxed SnSbPI2 crystal at the PBE level of DFT.

Results
* energy relative to the lowest polymorph listed for this composition: 392.2 meV per atom
* total magnetization: 0.93 μB/f.u.
* raw formation energy: 781 meV/atom

a b c (Å): 5.959 5.959 6.054
angles (deg): 90.00 90.00 90.00
Fractional coordinates of all 5 atoms:
1 Sn 0.000 0.000 0.000
2 Sb 0.000 0.000 0.500
3 P 0.500 0.500 0.500
4 I 0.000 0.500 0.000
5 I 0.500 0.000 0.000